[1]
Computed, not measured: a geometry-optimized Sc6GaAg structure at the PBE level of DFT.

Properties
Space-group type ... P-1 (2)
Crystal system ... triclinic
ρ ... 4.31 g/cm³
Energy of formation from the pure elements ... -0.151 eV/atom
Total magnetic moment ... 0.000 μB/atom

Cell lengths 7.868, 7.871, 5.567 Å; angles 44.98, 45.00, 59.98 degrees
Fractional coordinates of all 8 atoms:
Sc  0.007  0.501  0.746
Sc  0.746  0.002  0.746
Sc  0.499  0.254  0.248
Sc  0.254  0.998  0.254
Sc  0.993  0.499  0.254
Sc  0.501  0.746  0.752
Ga  0.500  0.500  0.500
Ag  0.000  0.000  0.000



[2]
Computed, not measured: a geometry-optimized LiSiAsO6 structure at the PBE level of DFT.

Properties
Space-group type ... P-31c (163)
Crystal system ... trigonal
ρ ... 3.84 g/cm³
Total magnetic moment ... 0.223 μB/atom
Uncorrected formation energy ... -1.469 eV/atom

Cell lengths 4.803, 4.803, 8.911 Å; angles 90.00, 90.00, 120.00 degrees
Last column: magnetic moment on the atom in μB.
Fractional coordinates of all 18 atoms:
Li  0.000  0.000  0.000  0.00
Li  0.000  0.000  0.500  0.00
Si  0.667  0.333  0.250  -0.02
Si  0.333  0.667  0.750  -0.02
As  0.333  0.667  0.250  -0.03
As  0.667  0.333  0.750  -0.03
O  0.647  0.636  0.140  0.29
O  0.989  0.353  0.140  0.29
O  0.353  0.989  0.640  0.29
O  0.011  0.647  0.860  0.29
O  0.364  0.353  0.360  0.29
O  0.989  0.636  0.360  0.29
O  0.636  0.989  0.860  0.29
O  0.647  0.011  0.360  0.29
O  0.011  0.364  0.640  0.29
O  0.364  0.011  0.140  0.29
O  0.636  0.647  0.640  0.29
O  0.353  0.364  0.860  0.29



[3]
Computed, not measured: a geometry-optimized Ac8Si3Te4I structure at the PBE level of DFT.

Properties
Space-group type ... R-3m (166)
Crystal system ... trigonal
ρ ... 7.19 g/cm³
Total magnetic moment ... 0.000 μB/atom
Uncorrected formation energy ... -1.162 eV/atom

Cell lengths 9.342, 9.448, 9.342 Å; angles 119.63, 120.00, 90.00 degrees
Fractional coordinates of all 16 atoms:
Ac  0.253  0.730  0.976
Ac  0.253  0.730  0.506
Ac  0.259  0.278  0.519
Ac  0.723  0.730  0.976
Ac  0.277  0.270  0.024
Ac  0.741  0.722  0.481
Ac  0.747  0.270  0.494
Ac  0.747  0.270  0.024
Si  0.500  0.500  0.000
Si  0.500  0.500  0.500
Si  0.000  0.500  0.500
Te  0.500  0.000  0.000
Te  0.500  0.000  0.500
Te  0.000  0.000  0.000
Te  0.000  0.000  0.500
I  0.000  0.500  0.000



[4]
Computed, not measured: a geometry-optimized NaLiP3 structure at the PBE level of DFT.

Properties
Space-group type ... Pm-3m (221)
Crystal system ... cubic
ρ ... 2.25 g/cm³
Energy of formation from the pure elements ... 0.484 eV/atom
Total magnetic moment ... 0.000 μB/atom
Polymorph energy (0 for the lowest one) ... 0 meV/atom

Cell lengths 4.492, 4.492, 4.492 Å; angles 90.00, 90.00, 90.00 degrees
Fractional coordinates of all 5 atoms:
P  0.000  0.500  0.000
P  0.000  0.000  0.500
P  0.500  0.000  0.000
Li  0.000  0.000  0.000
Na  0.500  0.500  0.500



[5]
Computed, not measured: a geometry-optimized TmAg4Sn structure at the PBE level of DFT.

Properties
Space-group type ... P6/mmm (191)
Crystal system ... hexagonal
ρ ... 9.53 g/cm³
Energy of formation from the pure elements ... -0.181 eV/atom
Total magnetic moment ... 0.000 μB/atom
Polymorph energy (0 for the lowest one) ... 0 meV/atom

Cell lengths 4.849, 4.849, 6.152 Å; angles 90.00, 90.00, 120.00 degrees
Fractional coordinates of all 6 atoms:
Tm  0.000  0.000  0.500
Ag  0.333  0.667  0.254
Ag  0.333  0.667  0.746
Ag  0.667  0.333  0.254
Ag  0.667  0.333  0.746
Sn  0.000  0.000  0.000



[6]
Computed, not measured: a geometry-optimized NpVRe structure at the PBE level of DFT.

Properties
Space-group type ... P3m1 (156)
Crystal system ... trigonal
ρ ... 15.99 g/cm³
Energy of formation from the pure elements ... 0.332 eV/atom
Total magnetic moment ... 0.544 μB/atom
Polymorph energy (0 for the lowest one) ... 187 meV/atom

Cell lengths 2.860, 2.860, 6.953 Å; angles 90.00, 90.00, 120.00 degrees
Last column: magnetic moment on the atom in μB.
Fractional coordinates of all 3 atoms:
Np  0.667  0.333  0.337  2.02
Re  0.000  0.000  0.969  -0.05
V  0.333  0.667  0.694  -0.28



[7]
Computed, not measured: a geometry-optimized CaPHO structure at the PBE level of DFT.

Properties
Space-group type ... Amm2 (38)
Crystal system ... orthorhombic
ρ ... 2.45 g/cm³
Total magnetic moment ... 0.000 μB/atom
Polymorph energy (0 for the lowest one) ... 94 meV/atom

Cell lengths 3.221, 3.140, 11.804 Å; angles 90.00, 90.00, 90.00 degrees
Fractional coordinates of all 8 atoms:
Ca  0.000  0.000  0.464
Ca  0.000  0.500  0.964
P  0.000  0.000  0.744
P  0.000  0.500  0.244
H  0.500  0.000  0.098
H  0.500  0.500  0.598
O  0.500  0.000  0.014
O  0.500  0.500  0.514



[8]
Computed, not measured: a geometry-optimized H2OsN structure at the PBE level of DFT.

Properties
Space-group type ... Cm (8)
Crystal system ... monoclinic
ρ ... 11.16 g/cm³
Total magnetic moment ... 0.000 μB/atom
Polymorph energy (0 for the lowest one) ... 301 meV/atom

Cell lengths 3.175, 2.748, 7.042 Å; angles 90.00, 92.21, 90.00 degrees
Fractional coordinates of all 8 atoms:
H  0.292  0.000  0.583
H  0.292  0.500  0.083
H  0.482  0.000  0.296
H  0.482  0.500  0.796
Os  0.838  0.000  0.854
Os  0.838  0.500  0.354
N  0.968  0.000  0.564
N  0.968  0.500  0.064



[9]
Computed, not measured: a geometry-optimized Na5Li4Ge2 structure at the PBE level of DFT.

Properties
Space-group type ... Immm (71)
Crystal system ... orthorhombic
ρ ... 1.79 g/cm³
Energy of formation from the pure elements ... -0.010 eV/atom
Total magnetic moment ... 0.000 μB/atom

Cell lengths 5.343, 8.879, 7.661 Å; angles 125.42, 110.41, 90.00 degrees
Fractional coordinates of all 11 atoms:
Na  0.266  0.594  0.531
Na  0.734  0.406  0.469
Na  0.266  0.937  0.531
Na  0.500  0.000  0.000
Na  0.734  0.063  0.469
Li  0.630  0.630  0.259
Li  0.000  0.263  0.000
Li  0.370  0.370  0.741
Li  0.000  0.737  0.000
Ge  0.131  0.131  0.262
Ge  0.869  0.869  0.738



[10]
Computed, not measured: a geometry-optimized DyHoBiO2 structure at the PBE level of DFT.

Properties
Space-group type ... I4mm (107)
Crystal system ... tetragonal
ρ ... 9.26 g/cm³
Total magnetic moment ... 0.000 μB/atom
Uncorrected formation energy ... -2.694 eV/atom

Cell lengths 3.878, 3.878, 7.309 Å; angles 105.39, 105.39, 90.00 degrees
Fractional coordinates of all 5 atoms:
Dy  0.832  0.832  0.663
Ho  0.169  0.169  0.338
Bi  0.500  0.500  0.001
O  0.749  0.249  0.499
O  0.249  0.749  0.499



[11]
Computed, not measured: a geometry-optimized Ce5S4Br structure at the PBE level of DFT.

Properties
Space-group type ... R-3m (166)
Crystal system ... trigonal
ρ ... 6.37 g/cm³
Total magnetic moment ... 0.340 μB/atom
Uncorrected formation energy ... -1.859 eV/atom

Cell lengths 4.013, 4.013, 17.139 Å; angles 83.28, 83.28, 60.00 degrees
Last column: magnetic moment on the atom in μB.
Fractional coordinates of all 10 atoms:
Ce  0.398  0.398  0.806  0.45
Ce  0.000  0.000  0.000  0.53
Ce  0.602  0.602  0.194  0.45
Ce  0.794  0.794  0.618  0.75
Ce  0.206  0.206  0.382  0.75
S  0.903  0.903  0.290  -0.02
S  0.301  0.301  0.097  -0.02
S  0.699  0.699  0.903  -0.02
S  0.097  0.097  0.710  -0.02
Br  0.500  0.500  0.500  -0.01



[12]
Computed, not measured: a geometry-optimized Pr4NdTm3Se8 structure at the PBE level of DFT.

Properties
Space-group type ... R-3m (166)
Crystal system ... trigonal
ρ ... 7.46 g/cm³
Total magnetic moment ... 0.000 μB/atom
Uncorrected formation energy ... -1.776 eV/atom

Cell lengths 8.231, 8.462, 8.232 Å; angles 119.11, 120.00, 90.00 degrees
Fractional coordinates of all 16 atoms:
Pr  0.500  0.000  0.000
Pr  0.500  0.000  0.500
Pr  0.000  0.000  0.000
Pr  0.000  0.000  0.500
Nd  0.000  0.500  0.000
Tm  0.500  0.500  0.000
Tm  0.500  0.500  0.500
Tm  0.000  0.500  0.500
Se  0.249  0.732  0.983
Se  0.249  0.732  0.498
Se  0.258  0.274  0.516
Se  0.734  0.732  0.983
Se  0.266  0.268  0.017
Se  0.742  0.726  0.484
Se  0.751  0.268  0.502
Se  0.751  0.268  0.017